Record 1
GGA-PBE SnHgB2, relaxed; electronic total energy = -2.815 eV/atom; symmetry = Fm-3m (225); volume = 66 Å³/cell; DFT formation energy = 6.40 eV per formula unit; energy above the lowest structure with this stoichiometry = 461 meV/atom
1.0
-3.206 0.162 3.188
-4.073 -1.803 -0.794
-1.256 -3.784 2.140
Sn B Hg
1 2 1
direct
0.000 0.000 0.000
0.250 0.250 0.250
0.750 0.750 0.750
0.500 0.500 0.500

---

Record 2
GGA-PBE Sn2HgB, relaxed; electronic total energy = -3.295 eV/atom; symmetry = I-42d (122); volume = 202 Å³/cell; DFT formation energy = 1.81 eV per formula unit; energy above the lowest structure with this stoichiometry = 0 meV/atom
1.0
6.236 0.000 0.000
0.000 6.236 0.000
3.118 3.118 5.201
Hg Sn B
2 4 2
direct
0.000 0.000 0.000
0.750 0.250 0.500
0.375 0.459 0.750
0.541 0.125 0.250
0.875 0.791 0.750
0.209 0.625 0.250
0.250 0.750 0.500
0.500 0.500 0.000

---

Record 3
GGA-PBE SnHgB2, relaxed; electronic total energy = -3.275 eV/atom; symmetry = I-42d (122); volume = 150 Å³/cell; DFT formation energy = 4.56 eV per formula unit; energy above the lowest structure with this stoichiometry = 0 meV/atom
1.0
5.415 0.000 0.000
0.000 5.415 0.000
2.707 2.707 5.108
Sn B Hg
2 4 2
direct
0.500 0.500 0.000
0.250 0.750 0.500
0.875 0.873 0.750
0.127 0.625 0.250
0.375 0.377 0.750
0.623 0.125 0.250
0.000 0.000 0.000
0.750 0.250 0.500

---

Record 4
GGA-PBE SrSnHgB2, relaxed; electronic total energy = -1.969 eV/atom; symmetry = P4/mmm (123); volume = 151 Å³/cell; DFT formation energy = 9.50 eV per formula unit
1.0
-0.363 2.978 4.091
-5.438 -2.013 0.983
1.897 -3.722 2.877
Hg B Sn Sr
1 2 1 1
direct
0.000 0.500 0.000
0.500 0.000 0.000
0.000 0.000 0.500
0.500 0.500 0.500
0.000 0.000 0.000

---

Record 5
GGA-PBE TiSn2HgB, relaxed; electronic total energy = -3.915 eV/atom; symmetry = P4/mmm (123); volume = 125 Å³/cell; DFT formation energy = 3.31 eV per formula unit
1.0
5.399 0.000 0.000
0.000 4.293 0.000
0.000 0.000 5.399
Sn Ti B Hg
2 1 1 1
direct
0.000 0.000 0.500
0.500 0.000 0.000
0.000 0.000 0.000
0.000 0.500 0.000
0.500 0.500 0.500

---

Record 6
GGA-PBE SrHgB2, relaxed; electronic total energy = -2.703 eV/atom; symmetry = Fm-3m (225); volume = 70 Å³/cell; DFT formation energy = 4.53 eV per formula unit; energy above the lowest structure with this stoichiometry = 378 meV/atom
1.0
-3.166 -3.314 0.672
-4.346 0.614 -1.481
-1.589 -2.449 -3.596
B Hg Sr
2 1 1
direct
0.250 0.250 0.250
0.750 0.750 0.750
0.500 0.500 0.500
0.000 0.000 0.000

---

Record 7
GGA-PBE SrHgB3, relaxed; electronic total energy = -2.701 eV/atom; symmetry = Pm-3m (221); volume = 93 Å³/cell; DFT formation energy = 8.51 eV per formula unit; energy above the lowest structure with this stoichiometry = 0 meV/atom
1.0
-0.587 -2.320 -3.856
-0.366 -3.851 2.372
-4.485 0.618 0.312
Sr B Hg
1 3 1
direct
0.500 0.500 0.500
0.500 0.000 0.000
0.000 0.500 0.000
0.000 0.000 0.500
0.000 0.000 0.000

---

Record 8
GGA-PBE SrHgB3, relaxed; electronic total energy = -1.672 eV/atom; symmetry = Pm-3m (221); volume = 135 Å³/cell; DFT formation energy = 13.65 eV per formula unit; energy above the lowest structure with this stoichiometry = 1028 meV/atom
1.0
-4.232 -2.795 -0.733
2.231 -2.334 -3.980
1.836 -3.606 3.144
B Hg Sr
3 1 1
direct
0.500 0.000 0.000
0.000 0.000 0.500
0.000 0.500 0.000
0.500 0.500 0.500
0.000 0.000 0.000